[1]
Entry from the Alexandria database: TaReBr2 at its PBEsol-relaxed geometry (meta-GGA SCAN).

Cell: 3.1960 4.2184 7.4145 Å, 106.53 102.45 90.00°
With the nearest neighbours (Å) after each atom.
Sites, in units of the cell vectors:
1 Br 0.6564 0.6564 0.3128  2 Ta 2.69
2 Br 0.3436 0.3436 0.6872  2 Ta 2.69
3 Re 0.5000 0.0000 0.0000  4 Ta 2.65
4 Ta 0.0000 0.5000 0.0000  4 Re 2.65, 4 Br 2.69

Values from the calculation:
**SG**: Immm (71)
**ρ**: 9.371 Mg/m³

=====

[2]
Entry from the Alexandria database: TaReBr3 at its PBEsol-relaxed geometry (meta-GGA SCAN).

Cell: 4.9472 4.9472 4.9472 Å, 90.00 90.00 90.00°
With the nearest neighbours (Å) after each atom.
Sites, in units of the cell vectors:
1 Br 0.0000 0.0000 0.5000  2 Re 2.47
2 Re 0.0000 0.0000 0.0000  6 Br 2.47
3 Ta 0.5000 0.5000 0.5000  12 Br 3.50
4 Br 0.0000 0.5000 0.0000  2 Re 2.47
5 Br 0.5000 0.0000 0.0000  2 Re 2.47

Values from the calculation:
**SG**: Pm-3m (221)
**ρ**: 8.323 Mg/m³

=====

Uncorrected energy: -174.70 -188.16 (eV per cell)